The following is a PBE calculation of a relaxed structure of Ba3ZnW, from Alexandria.

Output
Energy of formation from the pure elements in eV/atom: 0.91
Polymorph energy (0 for the lowest one) in meV per atom: 0

a b c (Å): 6.042 6.042 6.042
angles (deg): 90.00 90.00 90.00
Space group Pm-3m (No. 221)
Symmetry-distinct sites (fractional):
Ba1 0.000 0.000 0.500
Zn1 0.500 0.500 0.500
W1 0.000 0.000 0.000